[1]
## Te2WSe (PBE-GGA)

Data for crystalline Te2WSe at its relaxed geometry.

abc: 6.947 6.947 7.183
angles: 61.08 61.08 90.00
Fractional positions:
1 Te 0.671 0.125 0.250
2 Te 0.079 0.625 0.250
3 Te 0.375 0.329 0.750
4 Te 0.875 0.921 0.750
5 Se 0.500 0.500 0.000
6 Se 0.250 0.750 0.500
7 W 0.000 0.000 0.000
8 W 0.750 0.250 0.500

## Properties
As for the size of the total moment: 0.0 μB per formula unit. Its volume is 31.62 A^3/atom. The density of states at the Fermi level comes out at 2.713 states/eV/cell. The raw total energy comes out at -4.974 eV/atom. Its space-group type is I-42d, No. 122. For the calculated density, the calculation gives 6.80 g cm⁻³.


[2]
## TeW2Se (PBE-GGA)

Data for crystalline TeW2Se at its relaxed geometry.

abc: 4.081 4.093 5.647
angles: 94.98 90.00 90.00
Fractional positions:
1 Se 0.500 0.250 0.250
2 Te 0.500 0.750 0.750
3 W 0.000 0.949 0.104
4 W 0.000 0.551 0.396

## Properties
As for the energy above the most stable polymorph in this dataset: 0.673 eV per atom. As for the size of the total moment: 0.0 μB per formula unit. Its volume is 23.49 A^3/atom. The density of states at the Fermi level comes out at 2.915 states/eV/cell. Its space-group type is P2/m, No. 10. For the calculated density, the calculation gives 10.15 g cm⁻³.